# CsNaY2Cl8

CsNaY2Cl8 after structural relaxation (PBE, the Alexandria database).

CIF file:
```
data_CsNaY2Cl8
_cell_length_a 6.840
_cell_length_b 8.400
_cell_length_c 7.197
_cell_angle_alpha 90.00
_cell_angle_beta 95.03
_cell_angle_gamma 90.00
_symmetry_space_group_name_H-M 'P 1'
_symmetry_Int_Tables_number 1
loop_
_symmetry_equiv_pos_as_xyz
'x,y,z'
loop_
_atom_site_label
_atom_site_fract_x
_atom_site_fract_y
_atom_site_fract_z
Cs1 0.000 0.000 0.000
Na1 0.000 0.500 0.000
Y1 0.500 0.259 0.500
Y2 0.500 0.741 0.500
Cl1 0.267 0.285 0.196
Cl2 0.267 0.715 0.196
Cl3 0.291 0.500 0.638
Cl4 0.301 0.000 0.622
Cl5 0.699 0.000 0.378
Cl6 0.709 0.500 0.362
Cl7 0.733 0.285 0.804
Cl8 0.733 0.715 0.804
```

Properties
For the total energy, the calculation gives -4.61 eV per atom. As for the magnetic moment: 0.00 Bohr magnetons per cell. As for the space group: P2/m (10).



# DyTlH

DyTlH after structural relaxation (PBE, the Alexandria database).

CIF file:
```
data_DyTlH
_cell_length_a 5.596
_cell_length_b 6.621
_cell_length_c 7.297
_cell_angle_alpha 90.00
_cell_angle_beta 118.97
_cell_angle_gamma 90.00
_symmetry_space_group_name_H-M 'P 1'
_symmetry_Int_Tables_number 1
loop_
_symmetry_equiv_pos_as_xyz
'x,y,z'
loop_
_atom_site_label
_atom_site_fract_x
_atom_site_fract_y
_atom_site_fract_z
Dy1 0.069 0.190 0.357
Dy2 0.069 0.310 0.857
Dy3 0.931 0.690 0.143
Dy4 0.931 0.810 0.643
Tl1 0.440 0.540 0.680
Tl2 0.440 0.960 0.180
Tl3 0.560 0.040 0.820
Tl4 0.560 0.460 0.320
H1 0.076 0.628 0.923
H2 0.076 0.872 0.423
H3 0.924 0.128 0.577
H4 0.924 0.372 0.077
```

Properties
For the total energy, the calculation gives -3.84 eV per atom. As for the magnetic moment: 0.00 Bohr magnetons per cell. As for the space group: P2_1/c (14). For the energy above the most stable polymorph in this dataset, the calculation gives 0.013 eV/atom.



# CeCo4Rh

CeCo4Rh after structural relaxation (PBE, the Alexandria database).

CIF file:
```
data_CeCo4Rh
_cell_length_a 4.923
_cell_length_b 4.923
_cell_length_c 4.923
_cell_angle_alpha 60.00
_cell_angle_beta 60.00
_cell_angle_gamma 60.00
_symmetry_space_group_name_H-M 'P 1'
_symmetry_Int_Tables_number 1
loop_
_symmetry_equiv_pos_as_xyz
'x,y,z'
loop_
_atom_site_label
_atom_site_fract_x
_atom_site_fract_y
_atom_site_fract_z
Ce1 0.000 0.000 0.000
Co1 0.376 0.376 0.376
Co2 0.376 0.376 0.872
Co3 0.376 0.872 0.376
Co4 0.872 0.376 0.376
Rh1 0.750 0.750 0.750
```

Properties
For the total energy, the calculation gives -7.04 eV per atom. As for the magnetic moment: 6.30 Bohr magnetons per cell. As for the space group: F-43m (216). The value obtained for the formation energy is -2.06 kcal/mol of atoms.



# Na2Zn2Sb

Na2Zn2Sb after structural relaxation (PBE, the Alexandria database).

CIF file:
```
data_Na2Zn2Sb
_cell_length_a 7.421
_cell_length_b 7.421
_cell_length_c 7.421
_cell_angle_alpha 147.34
_cell_angle_beta 147.34
_cell_angle_gamma 46.85
_symmetry_space_group_name_H-M 'P 1'
_symmetry_Int_Tables_number 1
loop_
_symmetry_equiv_pos_as_xyz
'x,y,z'
loop_
_atom_site_label
_atom_site_fract_x
_atom_site_fract_y
_atom_site_fract_z
Na1 0.250 0.750 0.500
Na2 0.750 0.250 0.500
Zn1 0.091 0.091 0.000
Zn2 0.909 0.909 0.000
Sb1 0.500 0.500 0.000
```

Properties
For the total energy, the calculation gives -1.72 eV per atom. As for the magnetic moment: 0.00 Bohr magnetons per cell. As for the space group: I4/mmm (139). For the energy above the most stable polymorph in this dataset, the calculation gives 0.278 eV/atom.



# BaLiY2Ru

BaLiY2Ru after structural relaxation (PBE, the Alexandria database).

CIF file:
```
data_BaLiY2Ru
_cell_length_a 5.291
_cell_length_b 5.291
_cell_length_c 5.741
_cell_angle_alpha 90.00
_cell_angle_beta 90.00
_cell_angle_gamma 90.00
_symmetry_space_group_name_H-M 'P 1'
_symmetry_Int_Tables_number 1
loop_
_symmetry_equiv_pos_as_xyz
'x,y,z'
loop_
_atom_site_label
_atom_site_fract_x
_atom_site_fract_y
_atom_site_fract_z
Ba1 0.000 0.000 0.000
Li1 0.500 0.500 0.000
Y1 0.000 0.500 0.500
Y2 0.500 0.000 0.500
Ru1 0.500 0.500 0.500
```

Properties
For the total energy, the calculation gives -5.17 eV per atom. As for the magnetic moment: 0.00 Bohr magnetons per cell. As for the space group: P4/mmm (123). The value obtained for the formation energy is 0.84 kcal/mol of atoms.



# Nd5SmAs6

Nd5SmAs6 after structural relaxation (PBE, the Alexandria database).

CIF file:
```
data_Nd5SmAs6
_cell_length_a 7.384
_cell_length_b 7.384
_cell_length_c 7.385
_cell_angle_alpha 99.60
_cell_angle_beta 99.60
_cell_angle_gamma 119.99
_symmetry_space_group_name_H-M 'P 1'
_symmetry_Int_Tables_number 1
loop_
_symmetry_equiv_pos_as_xyz
'x,y,z'
loop_
_atom_site_label
_atom_site_fract_x
_atom_site_fract_y
_atom_site_fract_z
Nd1 0.000 0.000 0.000
Nd2 0.167 0.833 0.500
Nd3 0.333 0.667 0.000
Nd4 0.667 0.333 0.000
Nd5 0.833 0.167 0.500
Sm1 0.500 0.500 0.500
As1 0.086 0.417 0.251
As2 0.251 0.251 0.749
As3 0.417 0.086 0.251
As4 0.583 0.914 0.749
As5 0.749 0.749 0.251
As6 0.914 0.583 0.749
```

Properties
For the total energy, the calculation gives -6.22 eV per atom. As for the magnetic moment: 0.00 Bohr magnetons per cell. As for the space group: C2/m (12). The value obtained for the formation energy is -34.95 kcal/mol of atoms.



# LiSiC3

LiSiC3 after structural relaxation (PBE, the Alexandria database).

CIF file:
```
data_LiSiC3
_cell_length_a 3.755
_cell_length_b 3.755
_cell_length_c 3.755
_cell_angle_alpha 90.00
_cell_angle_beta 90.00
_cell_angle_gamma 90.00
_symmetry_space_group_name_H-M 'P 1'
_symmetry_Int_Tables_number 1
loop_
_symmetry_equiv_pos_as_xyz
'x,y,z'
loop_
_atom_site_label
_atom_site_fract_x
_atom_site_fract_y
_atom_site_fract_z
Li1 0.000 0.000 0.000
Si1 0.500 0.500 0.500
C1 0.000 0.500 0.500
C2 0.500 0.000 0.500
C3 0.500 0.500 0.000
```

Properties
For the total energy, the calculation gives -5.29 eV per atom. As for the magnetic moment: 0.00 Bohr magnetons per cell. As for the space group: Pm-3m (221). For the energy above the most stable polymorph in this dataset, the calculation gives 0.000 eV/atom.



# Ta6NbOs5

Ta6NbOs5 after structural relaxation (PBE, the Alexandria database).

CIF file:
```
data_Ta6NbOs5
_cell_length_a 7.076
_cell_length_b 7.076
_cell_length_c 6.572
_cell_angle_alpha 90.00
_cell_angle_beta 90.00
_cell_angle_gamma 143.17
_symmetry_space_group_name_H-M 'P 1'
_symmetry_Int_Tables_number 1
loop_
_symmetry_equiv_pos_as_xyz
'x,y,z'
loop_
_atom_site_label
_atom_site_fract_x
_atom_site_fract_y
_atom_site_fract_z
Ta1 0.000 0.000 0.249
Ta2 0.000 0.000 0.751
Ta3 0.333 0.667 0.248
Ta4 0.333 0.667 0.752
Ta5 0.667 0.333 0.248
Ta6 0.667 0.333 0.752
Nb1 0.500 0.500 0.000
Os1 0.166 0.834 0.500
Os2 0.169 0.831 0.000
Os3 0.500 0.500 0.500
Os4 0.831 0.169 0.000
Os5 0.834 0.166 0.500
```

Properties
For the total energy, the calculation gives -11.74 eV per atom. As for the magnetic moment: 0.00 Bohr magnetons per cell. As for the space group: Cmmm (65). The value obtained for the formation energy is -6.82 kcal/mol of atoms.



# Li4ZnAu

Li4ZnAu after structural relaxation (PBE, the Alexandria database).

CIF file:
```
data_Li4ZnAu
_cell_length_a 6.570
_cell_length_b 6.570
_cell_length_c 7.301
_cell_angle_alpha 90.00
_cell_angle_beta 90.00
_cell_angle_gamma 143.09
_symmetry_space_group_name_H-M 'P 1'
_symmetry_Int_Tables_number 1
loop_
_symmetry_equiv_pos_as_xyz
'x,y,z'
loop_
_atom_site_label
_atom_site_fract_x
_atom_site_fract_y
_atom_site_fract_z
Li1 0.008 0.992 0.500
Li2 0.179 0.821 0.752
Li3 0.323 0.677 0.496
Li4 0.485 0.515 0.744
Li5 0.515 0.485 0.244
Li6 0.677 0.323 0.996
Li7 0.821 0.179 0.252
Li8 0.992 0.008 0.000
Zn1 0.336 0.664 0.006
Zn2 0.664 0.336 0.506
Au1 0.165 0.835 0.241
Au2 0.835 0.165 0.741
```

Properties
For the total energy, the calculation gives -2.33 eV per atom. As for the magnetic moment: 0.00 Bohr magnetons per cell. As for the space group: Cmc2_1 (36). For the energy above the most stable polymorph in this dataset, the calculation gives 0.005 eV/atom. The value obtained for the formation energy is -6.88 kcal/mol of atoms.



# Cs5Ni2S5

Cs5Ni2S5 after structural relaxation (PBE, the Alexandria database).

CIF file:
```
data_Cs5Ni2S5
_cell_length_a 8.032
_cell_length_b 8.032
_cell_length_c 11.475
_cell_angle_alpha 93.27
_cell_angle_beta 93.27
_cell_angle_gamma 30.31
_symmetry_space_group_name_H-M 'P 1'
_symmetry_Int_Tables_number 1
loop_
_symmetry_equiv_pos_as_xyz
'x,y,z'
loop_
_atom_site_label
_atom_site_fract_x
_atom_site_fract_y
_atom_site_fract_z
Cs1 0.000 0.000 0.000
Cs2 0.150 0.150 0.575
Cs3 0.290 0.290 0.855
Cs4 0.710 0.710 0.145
Cs5 0.850 0.850 0.425
Ni1 0.489 0.489 0.694
Ni2 0.511 0.511 0.306
S1 0.068 0.068 0.287
S2 0.388 0.388 0.189
S3 0.500 0.500 0.500
S4 0.612 0.612 0.811
S5 0.932 0.932 0.713
```

Properties
For the total energy, the calculation gives -3.71 eV per atom. As for the magnetic moment: 0.81 Bohr magnetons per cell. As for the space group: C2/m (12).



# Ac4CoAsI2

Ac4CoAsI2 after structural relaxation (PBE, the Alexandria database).

CIF file:
```
data_Ac4CoAsI2
_cell_length_a 8.106
_cell_length_b 4.298
_cell_length_c 8.715
_cell_angle_alpha 90.00
_cell_angle_beta 105.82
_cell_angle_gamma 90.00
_symmetry_space_group_name_H-M 'P 1'
_symmetry_Int_Tables_number 1
loop_
_symmetry_equiv_pos_as_xyz
'x,y,z'
loop_
_atom_site_label
_atom_site_fract_x
_atom_site_fract_y
_atom_site_fract_z
Ac1 0.201 0.000 0.180
Ac2 0.252 0.500 0.804
Ac3 0.748 0.500 0.196
Ac4 0.799 0.000 0.820
Co1 0.000 0.500 0.000
As1 0.500 0.000 0.000
I1 0.000 0.000 0.500
I2 0.500 0.500 0.500
```

Properties
For the total energy, the calculation gives -4.83 eV per atom. As for the magnetic moment: 0.00 Bohr magnetons per cell. As for the space group: P2/m (10).



# Pr6Er2Tm

Pr6Er2Tm after structural relaxation (PBE, the Alexandria database).

CIF file:
```
data_Pr6Er2Tm
_cell_length_a 10.071
_cell_length_b 10.071
_cell_length_c 3.681
_cell_angle_alpha 90.00
_cell_angle_beta 90.00
_cell_angle_gamma 123.96
_symmetry_space_group_name_H-M 'P 1'
_symmetry_Int_Tables_number 1
loop_
_symmetry_equiv_pos_as_xyz
'x,y,z'
loop_
_atom_site_label
_atom_site_fract_x
_atom_site_fract_y
_atom_site_fract_z
Pr1 0.009 0.341 0.000
Pr2 0.185 0.185 0.500
Pr3 0.341 0.009 0.000
Pr4 0.659 0.991 0.000
Pr5 0.815 0.815 0.500
Pr6 0.991 0.659 0.000
Er1 0.326 0.674 0.500
Er2 0.674 0.326 0.500
Tm1 0.500 0.500 0.000
```

Properties
For the total energy, the calculation gives -4.57 eV per atom. As for the magnetic moment: 0.00 Bohr magnetons per cell. As for the space group: Cmmm (65). For the energy above the most stable polymorph in this dataset, the calculation gives 0.016 eV/atom. The value obtained for the formation energy is 2.98 kcal/mol of atoms.